(1)
Here is crystalline LiMgTl2Sb2 at its relaxed geometry from the Alexandria database. Energies are from PBE. Values from VASP.

Computed properties:
Space-group type: Ibam, No. 72
ΔE_f (raw), eV/atom: -0.23

Quantum ESPRESSO input file:
```
&SYSTEM
  ibrav = 0, nat = 12, ntyp = 4
/
ATOMIC_SPECIES
Li 6.94 Li.upf
Mg 24.30 Mg.upf
Tl 204.38 Tl.upf
Sb 121.76 Sb.upf
CELL_PARAMETERS angstrom
6.515 0.000 0.000
0.000 6.898 0.000
-3.257 -3.449 7.448
ATOMIC_POSITIONS angstrom
Li 0.000 5.173 0.000
Li 0.000 1.724 0.000
Mg 3.257 5.173 0.000
Mg 3.257 1.724 0.000
Tl 1.601 0.000 2.545
Tl 1.656 3.449 4.903
Tl -1.656 0.000 4.903
Tl 4.914 3.449 2.545
Sb 4.892 0.000 1.695
Sb 1.623 3.449 1.695
Sb 1.634 0.000 5.753
Sb -1.634 3.449 5.753
```

(2)
Here is crystalline TiNbMo2 at its relaxed geometry from the Alexandria database. Energies are from PBE. Values from VASP.

Computed properties:
Space-group type: P4/mmm, No. 123
E, eV/atom: -10.01

Quantum ESPRESSO input file:
```
&SYSTEM
  ibrav = 0, nat = 4, ntyp = 3
/
ATOMIC_SPECIES
Mo 95.94 Mo.upf
Nb 92.91 Nb.upf
Ti 47.87 Ti.upf
CELL_PARAMETERS angstrom
-2.305 -1.877 -1.184
-0.584 -1.133 2.935
-4.283 4.663 0.948
ATOMIC_POSITIONS angstrom
Mo -3.207 3.492 0.710
Mo -1.076 1.172 0.238
Nb -1.445 -1.505 0.876
Ti -3.586 0.826 1.349
```